Arrangement a

First-principles (PBE-GGA) data for an optimized crystal structure of Al2ZnAs, as listed in the Alexandria database.

Output
V ... 73.1 Å³ per cell
Space group ... P4mm
Magnetization ... 0.000 μB per cell

Cell lengths 3.580, 3.579, 5.703 Å; angles 90.00, 90.00, 90.00 degrees
Element x y z (fractional)
Zn (0.500, 0.500, 0.809)
As (0.000, 0.000, 0.421)
Al (0.500, 0.500, 0.302)
Al (0.000, 0.000, 0.968)

---

Arrangement b

First-principles (PBE-GGA) data for an optimized crystal structure of Al2ZnAs, as listed in the Alexandria database.

Output
V ... 68.8 Å³ per cell
Space group ... R3m
Magnetization ... 0.000 μB per cell

Cell lengths 9.246, 9.246, 9.246 Å; angles 18.40, 18.40, 18.40 degrees
Element x y z (fractional)
Zn (0.747, 0.747, 0.747)
Al (0.251, 0.251, 0.251)
As (0.502, 0.502, 0.502)
Al (0.000, 0.000, 0.000)

---

Arrangement c

First-principles (PBE-GGA) data for an optimized crystal structure of Al2ZnAs, as listed in the Alexandria database.

Output
V ... 69.2 Å³ per cell
Space group ... I-4m2
Magnetization ... 0.000 μB per cell

Cell lengths 5.105, 5.105, 5.105 Å; angles 133.34, 133.34, 68.13 degrees
Element x y z (fractional)
Zn (0.750, 0.250, 0.500)
As (0.500, 0.500, 0.000)
Al (0.250, 0.750, 0.500)
Al (0.000, 0.000, 0.000)

---

Arrangement d

First-principles (PBE-GGA) data for an optimized crystal structure of Al2ZnAs, as listed in the Alexandria database.

Output
V ... 68.6 Å³ per cell
Space group ... Pmmm
Magnetization ... 0.000 μB per cell

Cell lengths 2.924, 3.879, 6.051 Å; angles 90.00, 90.00, 90.00 degrees
Element x y z (fractional)
As (0.500, 0.500, 0.250)
Zn (0.500, 0.500, 0.750)
Al (0.000, 0.000, 0.987)
Al (0.000, 0.000, 0.513)

---

Which is most stable, and by how much? arrangement a, by 48 meV per atom.

---

Arrangement a

First-principles (PBE-GGA) data for an optimized crystal structure of Al2ZnAs, as listed in the Alexandria database.

Output
V ... 72.3 Å³ per cell
Space group ... Imm2
Magnetization ... 0.000 μB per cell

Cell lengths 5.940, 5.940, 5.940 Å; angles 144.69, 143.12, 51.98 degrees
Element x y z (fractional)
Al (0.721, 0.221, 0.500)
Zn (0.278, 0.778, 0.500)
As (0.538, 0.538, 0.000)
Al (0.962, 0.962, 0.000)

---

Arrangement b

First-principles (PBE-GGA) data for an optimized crystal structure of Al2ZnAs, as listed in the Alexandria database.

Output
V ... 71.6 Å³ per cell
Space group ... Pmmm
Magnetization ... 0.000 μB per cell

Cell lengths 3.585, 2.681, 7.445 Å; angles 89.99, 90.00, 90.00 degrees
Element x y z (fractional)
Al (0.000, 0.249, 0.987)
Zn (0.500, 0.750, 0.750)
Al (0.000, 0.251, 0.513)
As (0.500, 0.250, 0.250)

---

Which is most stable, and by how much? arrangement b, by 43 meV per atom.

---

Arrangement a

First-principles (PBE-GGA) data for an optimized crystal structure of Al2ZnAs, as listed in the Alexandria database.

Output
V ... 68.7 Å³ per cell
Space group ... P4/mmm
Magnetization ... 0.000 μB per cell

Cell lengths 3.071, 3.071, 7.291 Å; angles 90.00, 90.00, 89.99 degrees
Element x y z (fractional)
As (0.500, 0.500, 0.250)
Al (0.000, 0.000, 0.501)
Zn (0.500, 0.500, 0.750)
Al (0.000, 0.000, 0.999)

---

Arrangement b

First-principles (PBE-GGA) data for an optimized crystal structure of Al2ZnAs, as listed in the Alexandria database.

Output
V ... 68.8 Å³ per cell
Space group ... C2/m
Magnetization ... 0.000 μB per cell

Cell lengths 5.101, 5.101, 5.038 Å; angles 79.54, 79.54, 32.28 degrees
Element x y z (fractional)
Al (0.994, 0.994, 0.007)
Al (0.506, 0.506, 0.493)
As (0.750, 0.750, 0.750)
Zn (0.250, 0.250, 0.250)

---

Arrangement c

First-principles (PBE-GGA) data for an optimized crystal structure of Al2ZnAs, as listed in the Alexandria database.

Output
V ... 71.6 Å³ per cell
Space group ... F-43m
Magnetization ... 0.000 μB per cell

Cell lengths 4.661, 4.661, 4.661 Å; angles 60.00, 60.00, 60.00 degrees
Element x y z (fractional)
As (0.500, 0.500, 0.500)
Al (0.750, 0.750, 0.750)
Zn (0.250, 0.250, 0.250)
Al (0.000, 0.000, 0.000)

---

Arrangement d

First-principles (PBE-GGA) data for an optimized crystal structure of Al2ZnAs, as listed in the Alexandria database.

Output
V ... 69.1 Å³ per cell
Space group ... I4/mmm
Magnetization ... 0.000 μB per cell

Cell lengths 4.895, 4.895, 4.895 Å; angles 128.96, 128.96, 75.08 degrees
Element x y z (fractional)
Zn (0.750, 0.250, 0.500)
As (0.250, 0.750, 0.500)
Al (0.000, 0.000, 0.000)
Al (0.500, 0.500, 0.000)

---

Which is most stable, and by how much? arrangement b, by 30 meV per atom.

---

Arrangement a

First-principles (PBE-GGA) data for an optimized crystal structure of Al2ZnAs, as listed in the Alexandria database.

Output
V ... 69.4 Å³ per cell
Space group ... Cmm2
Magnetization ... 0.000 μB per cell

Cell lengths 2.983, 2.983, 7.831 Å; angles 90.00, 90.00, 95.17 degrees
Element x y z (fractional)
Zn (0.500, 0.500, 0.763)
Al (0.500, 0.500, 0.244)
Al (0.000, 0.000, 0.000)
As (0.000, 0.000, 0.493)

---

Arrangement b

First-principles (PBE-GGA) data for an optimized crystal structure of Al2ZnAs, as listed in the Alexandria database.

Output
V ... 192.3 Å³ per cell
Space group ... I-42d
Magnetization ... 0.000 μB per cell

Cell lengths 6.229, 6.229, 6.630 Å; angles 61.98, 61.98, 90.00 degrees
Element x y z (fractional)
As (0.000, 0.000, 0.000)
Zn (0.250, 0.750, 0.500)
Al (0.875, 0.886, 0.750)
Zn (0.500, 0.500, 0.000)
As (0.750, 0.250, 0.500)
Al (0.636, 0.125, 0.250)
Al (0.375, 0.364, 0.750)
Al (0.114, 0.625, 0.250)

---

Which is most stable, and by how much? arrangement a, by 33 meV per atom.

---

Arrangement a

First-principles (PBE-GGA) data for an optimized crystal structure of AlZnAs2, as listed in the Alexandria database.

Output
V ... 74.2 Å³ per cell
Space group ... Immm
Magnetization ... 0.000 μB per cell

Cell lengths 4.944, 4.944, 4.944 Å; angles 135.05, 115.87, 81.72 degrees
Element x y z (fractional)
As (0.495, 0.495, 0.000)
Al (0.250, 0.750, 0.500)
Zn (0.750, 0.250, 0.500)
As (0.005, 0.005, 0.000)

---

Arrangement b

First-principles (PBE-GGA) data for an optimized crystal structure of AlZnAs2, as listed in the Alexandria database.

Output
V ... 74.1 Å³ per cell
Space group ... Cmm2
Magnetization ... 0.000 μB per cell

Cell lengths 2.858, 2.858, 9.215 Å; angles 90.00, 90.00, 100.38 degrees
Element x y z (fractional)
As (0.500, 0.500, 0.296)
Zn (0.000, 0.000, 0.514)
As (0.000, 0.000, 0.955)
Al (0.500, 0.500, 0.735)

---

Which is most stable, and by how much? arrangement a, by 13 meV per atom.

---

Arrangement a

First-principles (PBE-GGA) data for an optimized crystal structure of AlZnAs, as listed in the Alexandria database.

Output
V ... 60.0 Å³ per cell
Space group ... F-43m
Magnetization ... 0.000 μB per cell

Cell lengths 4.393, 4.393, 4.393 Å; angles 60.00, 60.00, 60.00 degrees
Element x y z (fractional)
As (0.000, 0.000, 0.000)
Zn (0.500, 0.500, 0.500)
Al (0.750, 0.750, 0.750)

---

Arrangement b

First-principles (PBE-GGA) data for an optimized crystal structure of AlZnAs, as listed in the Alexandria database.

Output
V ... 52.4 Å³ per cell
Space group ... I4mm
Magnetization ... 0.000 μB per cell

Cell lengths 6.058, 6.057, 3.043 Å; angles 75.46, 75.44, 29.10 degrees
Element x y z (fractional)
As (0.340, 0.340, 0.660)
Al (0.001, 0.001, 0.999)
Zn (0.660, 0.660, 0.340)

---

Which is most stable, and by how much? arrangement a, by 111 meV per atom.